Entry 1:
14
Lattice="4.183 0.000 1.103 1.385 7.201 3.229 0.119 -0.148 8.031" Properties=species:S:1:pos:R:3 comment="Ho3Al8Ni3, relaxed, DFT PBE" magmom_total_mub_per_cell=0.000 vol_a3_per_cell=242.8 ef_mev_per_atom=-533 pbc="T T T"
Ho 2.269 5.089 8.359
Ho 3.418 1.964 4.004
Ho 0.000 0.000 0.000
Al 0.847 1.097 5.271
Al 4.841 5.956 7.092
Al 4.261 2.991 9.290
Al 1.426 4.062 3.073
Al 3.075 4.685 5.304
Al 2.612 2.368 7.059
Al 1.533 0.140 2.670
Al 4.155 6.913 9.693
Ni 0.752 3.527 5.630
Ni 3.813 4.889 10.989
Ni 1.875 2.164 1.374


Entry 2:
4
Lattice="-1.649 1.672 1.774 -2.464 -0.433 -1.882 -2.186 -6.962 4.464" Properties=species:S:1:pos:R:3 comment="NaCo, relaxed, DFT PBE" magmom_total_mub_per_cell=3.194 vol_a3_per_cell=78.8 ef_mev_per_atom=406 pbc="T T T"
Na -2.804 -5.309 3.591
Na -3.495 -0.413 0.764
Co -2.007 -2.814 1.974
Co -4.291 -2.908 2.381


Entry 3:
4
Lattice="3.161 -3.600 0.229 -1.157 -4.067 2.265 -0.751 -4.015 -2.514" Properties=species:S:1:pos:R:3 comment="KLi2Rh, relaxed, DFT PBE" magmom_total_mub_per_cell=0.000 vol_a3_per_cell=78.0 ef_mev_per_atom=329 pbc="T T T"
K 0.000 0.000 0.000
Rh 0.627 -5.841 -0.010
Li 0.313 -2.920 -0.005
Li 0.940 -8.761 -0.015


Entry 4:
5
Lattice="5.726 0.000 0.000 0.000 5.726 0.000 0.000 0.000 4.770" Properties=species:S:1:pos:R:3 comment="LiCa2TlAu, relaxed, DFT PBE" magmom_total_mub_per_cell=0.000 vol_a3_per_cell=156.4 ef_mev_per_atom=-317 pbc="T T T"
Tl 2.863 2.863 2.385
Au 0.000 0.000 0.000
Ca 0.000 2.863 0.000
Ca 2.863 0.000 0.000
Li 0.000 0.000 2.385


Entry 5:
20
Lattice="-0.013 1.116 5.619 7.776 -3.924 0.797 4.901 9.423 -1.428" Properties=species:S:1:pos:R:3 comment="Ce6In3Pt, relaxed, DFT PBE" magmom_total_mub_per_cell=8.405 vol_a3_per_cell=536.6 ef_mev_per_atom=-339 pbc="T T T"
Ce 5.728 8.953 1.708
Ce 3.943 5.216 2.129
Ce 4.608 1.585 3.902
Ce 8.057 5.031 1.086
Ce 8.722 1.400 2.859
Ce 6.937 -2.337 3.281
Ce 4.982 2.827 -0.214
Ce 2.956 0.321 5.803
Ce 4.301 7.134 0.096
Ce 8.364 -0.518 4.893
Ce 9.708 6.295 -0.815
Ce 7.683 3.789 5.202
In 10.417 4.392 3.482
In 3.882 -1.404 3.208
In 2.248 2.224 1.506
In 6.108 0.063 1.195
In 2.451 4.712 -0.714
In 6.556 6.553 3.793
Pt 6.332 3.308 2.494
Pt 0.000 0.000 0.000


Entry 6:
8
Lattice="-2.669 -0.276 -3.651 0.556 -7.941 0.194 -5.777 -2.812 4.437" Properties=species:S:1:pos:R:3 comment="NaNdSn2Te4, relaxed, DFT PBE" magmom_total_mub_per_cell=0.000 raw_formation_energy_mev_per_atom=-758 vol_a3_per_cell=266.7 pbc="T T T"
Na -1.056 -4.109 -1.728
Nd -2.611 -5.376 2.315
Sn -5.777 -2.812 4.437
Sn -4.223 -1.544 0.393
Te -3.872 -8.058 3.440
Te -4.018 -2.971 -2.460
Te -2.390 -6.804 -0.549
Te -5.500 -4.224 1.529


Entry 7:
4
Lattice="9.372 0.015 0.009 8.872 3.020 0.009 8.872 1.476 2.634" Properties=species:S:1:pos:R:3 comment="ZrTa2Ir, relaxed, DFT PBE" magmom_total_mub_per_cell=0.000 vol_a3_per_cell=74.0 ef_mev_per_atom=-67 pbc="T T T"
Ir 20.225 3.364 1.978
Ta 0.104 0.017 0.010
Ta 6.861 1.141 0.671
Zr 13.483 2.243 1.319


Entry 8:
6
Lattice="4.047 0.000 0.000 0.000 4.047 0.000 0.000 0.000 5.705" Properties=species:S:1:pos:R:3 comment="LiTcP, relaxed, DFT PBE" magmom_total_mub_per_cell=0.000 polymorph_energy_mev_per_atom=47 vol_a3_per_cell=93.5 ef_mev_per_atom=-490 pbc="T T T"
Li 0.000 0.000 2.853
Li 2.024 2.024 2.853
Tc 0.000 0.000 0.000
Tc 2.024 2.024 0.000
P 0.000 2.024 1.246
P 2.024 0.000 4.460


Entry 9:
11
Lattice="7.052 0.401 0.333 0.748 7.708 -0.361 0.748 1.055 7.644" Properties=species:S:1:pos:R:3 comment="CuAu2Br8, relaxed, DFT PBE" magmom_total_mub_per_cell=0.780 raw_formation_energy_mev_per_atom=-27 vol_a3_per_cell=414.1 pbc="T T T"
Cu 0.000 0.000 0.000
Au 2.926 1.734 1.442
Au 5.621 7.429 6.175
Br 6.444 1.749 6.051
Br 2.104 2.894 7.003
Br 4.982 2.688 2.234
Br 3.566 6.475 5.382
Br 6.444 6.269 0.614
Br 2.104 7.414 1.565
Br 1.624 3.739 3.108
Br 6.924 5.424 4.508


Entry 10:
18
Lattice="7.742 0.000 0.000 -3.871 6.705 0.000 0.000 0.000 12.655" Properties=species:S:1:pos:R:3 comment="KUInCl6, relaxed, DFT PBE" magmom_total_mub_per_cell=4.000 raw_formation_energy_mev_per_atom=-1618 vol_a3_per_cell=656.9 pbc="T T T"
K 0.000 0.000 0.000
K 0.000 0.000 6.328
U 3.871 2.235 3.164
U 0.000 4.470 9.491
In 0.000 4.470 3.164
In 3.871 2.235 9.491
Cl 2.786 4.116 1.668
Cl 6.043 2.234 1.668
Cl -1.087 6.350 7.996
Cl -2.172 4.471 10.987
Cl 1.699 2.234 4.659
Cl 4.956 4.116 4.659
Cl 1.087 6.350 10.987
Cl 4.958 0.355 4.659
Cl -1.085 2.589 7.996
Cl 2.785 0.355 1.668
Cl 2.172 4.471 7.996
Cl 1.085 2.589 10.987


Entry 11:
12
Lattice="4.752 0.000 0.000 2.376 4.116 0.000 2.376 1.372 5.901" Properties=species:S:1:pos:R:3 comment="ThMgH8Ir2, relaxed, DFT PBE" magmom_total_mub_per_cell=0.000 total_energy_ev_per_fu=-55.5 vol_a3_per_cell=115.4 pbc="T T T"
Th 4.752 2.744 2.950
Mg 0.000 0.000 0.000
H 2.376 1.372 2.831
H 4.042 1.523 1.091
H 7.129 4.116 3.070
H 6.165 2.739 1.091
H 3.340 2.749 4.810
H 4.051 3.970 1.091
H 5.454 1.518 4.810
H 5.463 3.965 4.810
Ir 2.376 1.372 1.217
Ir 7.129 4.116 4.684


Entry 12:
14
Lattice="-4.122 0.344 -1.176 2.900 -4.025 -3.478 -3.748 -11.222 9.860" Properties=species:S:1:pos:R:3 comment="Tm3Sn4, relaxed, DFT PBE" magmom_total_mub_per_cell=0.000 vol_a3_per_cell=375.1 ef_mev_per_atom=-587 pbc="T T T"
Tm -2.158 -2.185 -0.936
Tm -2.811 -12.745 6.128
Tm -3.296 -5.591 2.058
Tm -1.673 -9.336 3.137
Tm -2.276 -5.961 -1.627
Tm -2.694 -8.970 6.821
Sn -0.609 -4.324 0.869
Sn -4.360 -10.604 4.324
Sn 0.217 -4.071 -1.950
Sn 0.001 -0.013 -0.006
Sn -0.849 -7.262 0.855
Sn -5.186 -10.860 7.142
Sn -1.874 -5.623 4.924
Sn -4.120 -7.665 4.340


Entry 13:
5
Lattice="6.016 0.000 0.000 0.000 5.625 0.000 0.000 0.000 6.016" Properties=species:S:1:pos:R:3 comment="BaLa2MgF, relaxed, DFT PBE" magmom_total_mub_per_cell=0.000 raw_formation_energy_mev_per_atom=558 vol_a3_per_cell=203.6 pbc="T T T"
Mg 0.000 2.813 0.000
F 3.008 2.813 3.008
Ba 0.000 0.000 0.000
La 0.000 0.000 3.008
La 3.008 0.000 0.000


Entry 14:
10
Lattice="-5.304 1.892 -4.543 -4.584 0.531 5.573 -3.785 5.720 1.039" Properties=species:S:1:pos:R:3 comment="Rb3IF6, relaxed, DFT PBE" magmom_total_mub_per_cell=2.000 polymorph_energy_mev_per_atom=214 raw_formation_energy_mev_per_atom=-2003 vol_a3_per_cell=245.3 pbc="T T T"
I 0.000 0.000 0.000
Rb -4.944 1.212 0.515
Rb -7.017 4.412 -1.495
Rb -6.657 3.732 3.563
F -4.291 3.750 0.810
F -9.382 4.393 1.258
F -2.388 0.585 0.249
F -7.500 1.838 0.781
F -5.130 1.563 -2.100
F -4.758 0.860 3.130


Entry 15:
19
Lattice="8.291 0.000 0.000 -2.764 7.817 0.000 -2.764 -3.908 6.770" Properties=species:S:1:pos:R:3 comment="In3Pd12Pt4, relaxed, DFT PBE" magmom_total_mub_per_cell=0.000 vol_a3_per_cell=438.7 ef_mev_per_atom=189 pbc="T T T"
In 2.764 -1.954 3.385
In 2.764 3.908 0.000
In -2.764 1.954 3.385
Pd 2.210 0.130 5.040
Pd 0.554 3.778 1.729
Pd 0.614 -2.127 5.040
Pd -0.614 3.301 4.362
Pd 4.913 2.388 0.678
Pd -0.554 0.391 4.137
Pd -2.210 4.430 2.407
Pd -2.149 1.520 6.091
Pd 2.149 6.035 1.729
Pd 3.378 0.607 2.407
Pd 3.317 3.517 2.633
Pd 4.974 -0.521 4.362
Pt -1.382 -1.954 3.385
Pt 1.382 1.954 3.385
Pt 4.145 0.000 0.000
Pt -1.382 3.908 0.000


Entry 16:
4
Lattice="-1.522 3.487 1.567 -2.221 -0.450 -1.157 -2.223 -2.525 3.459" Properties=species:S:1:pos:R:3 comment="Mn2CrTc, relaxed, DFT PBE" magmom_total_mub_per_cell=3.227 polymorph_energy_mev_per_atom=28 vol_a3_per_cell=49.8 ef_mev_per_atom=113 pbc="T T T"
Cr -4.117 -0.529 2.581
Mn -4.401 -2.947 2.284
Mn -1.851 1.007 1.363
Tc -2.263 -1.479 1.094


Entry 17:
28
Lattice="0.237 -7.084 4.777 -3.003 -7.477 -3.293 6.783 -5.409 -0.710" Properties=species:S:1:pos:R:3 comment="Sm2TmF11, relaxed, DFT PBE" magmom_total_mub_per_cell=4.215 raw_formation_energy_mev_per_atom=-3435 vol_a3_per_cell=490.3 pbc="T T T"
Sm 0.182 -11.537 0.676
Sm 3.835 -8.433 0.099
Sm 5.116 -11.729 2.794
Sm -1.099 -8.241 -2.020
Tm 3.012 -14.978 0.581
Tm 1.004 -4.993 0.194
F 1.842 -13.068 0.451
F 2.174 -6.903 0.323
F 3.136 -8.478 -2.060
F 2.745 -17.191 0.331
F 0.880 -11.493 2.835
F 1.271 -2.779 0.443
F 4.089 -14.090 -1.176
F -0.072 -5.880 1.951
F 2.008 -9.985 0.387
F 0.000 0.000 0.000
F -0.942 -13.411 1.461
F 4.958 -6.560 -0.686
F 3.884 -10.354 1.388
F 0.133 -9.617 -0.613
F -0.706 -12.223 -1.289
F 4.722 -7.748 2.064
F 5.761 -9.450 -0.512
F 2.983 -4.548 -0.753
F -1.745 -10.520 1.286
F 1.033 -15.422 1.527
F -0.243 -6.636 -0.675
F 4.259 -13.335 1.449


Entry 18:
11
Lattice="8.005 0.000 0.000 0.000 8.005 0.000 -4.003 -4.003 6.683" Properties=species:S:1:pos:R:3 comment="AcPr6Nd4, relaxed, DFT PBE" magmom_total_mub_per_cell=0.000 polymorph_energy_mev_per_atom=42 vol_a3_per_cell=428.3 ef_mev_per_atom=333 pbc="T T T"
Ac 4.003 4.003 0.000
Pr 5.993 2.012 2.571
Pr 2.012 5.993 2.571
Pr 1.990 1.990 4.112
Pr 0.000 4.003 0.000
Pr -1.990 -1.990 4.112
Pr 4.003 0.000 0.000
Nd -2.662 2.662 5.666
Nd 6.665 6.665 1.017
Nd 2.662 -2.662 5.666
Nd 1.341 1.341 1.017


Entry 19:
7
Lattice="-0.702 -4.596 0.821 -0.621 -0.731 -4.623 7.902 -4.136 -2.818" Properties=species:S:1:pos:R:3 comment="Ho2Er4N, relaxed, DFT PBE" magmom_total_mub_per_cell=0.000 raw_formation_energy_mev_per_atom=-276 vol_a3_per_cell=194.8 pbc="T T T"
N 0.000 0.000 0.000
Ho 2.240 -3.163 -2.212
Ho 4.340 -6.301 -4.408
Er 5.628 -3.745 -2.575
Er 0.951 -5.719 -4.045
Er -0.311 -0.366 -2.312
Er -0.351 -2.298 0.411


Entry 20:
4
Lattice="0.000 4.528 4.528 4.528 0.000 4.528 4.528 4.528 0.000" Properties=species:S:1:pos:R:3 comment="Rb2NaW, relaxed, DFT PBE" magmom_total_mub_per_cell=4.975 polymorph_energy_mev_per_atom=0 vol_a3_per_cell=185.7 ef_mev_per_atom=1514 pbc="T T T"
Na 0.000 0.000 0.000
Rb 2.264 2.264 2.264
Rb 6.792 6.792 6.792
W 4.528 4.528 4.528


Entry 21:
10
Lattice="4.396 0.000 -1.284 -0.632 5.199 -2.164 -0.130 0.111 7.723" Properties=species:S:1:pos:R:3 comment="Ti4Sn, relaxed, DFT PBE" magmom_total_mub_per_cell=0.001 polymorph_energy_mev_per_atom=0 vol_a3_per_cell=176.8 ef_mev_per_atom=-196 pbc="T T T"
Ti 0.207 1.864 0.709
Ti 3.427 3.446 3.566
Ti 2.198 0.000 -0.642
Ti 1.882 2.600 -1.724
Ti 2.886 1.126 1.712
Ti 0.748 4.184 2.563
Ti 1.052 1.689 3.601
Ti 2.582 3.621 0.673
Sn 3.724 0.816 4.582
Sn -0.090 4.494 -0.307


Entry 22:
16
Lattice="8.643 0.000 0.000 0.000 8.643 0.000 0.000 0.000 8.643" Properties=species:S:1:pos:R:3 comment="KB, relaxed, DFT PBE" magmom_total_mub_per_cell=7.967 polymorph_energy_mev_per_atom=661 vol_a3_per_cell=645.7 ef_mev_per_atom=906 pbc="T T T"
K 2.449 2.449 2.449
K 2.449 6.195 6.195
K 6.195 2.449 6.195
K 6.195 6.195 2.449
K 6.770 6.770 6.770
K 6.770 1.873 1.873
K 1.873 6.770 1.873
K 1.873 1.873 6.770
B 0.607 0.607 0.607
B 0.607 8.036 8.036
B 8.036 0.607 8.036
B 8.036 8.036 0.607
B 4.929 4.929 4.929
B 4.929 3.714 3.714
B 3.714 4.929 3.714
B 3.714 3.714 4.929